No. 1
DFT (PBE) results for TaSeCl2 after structural relaxation.

Cell: 4.6753 4.6753 4.6753 Å, 60.00 60.00 60.00°
Closest atoms and distances in Å follow each position.
Sites, in units of the cell vectors:
Ta 0.0000 0.0000 0.0000  4 Cl 2.86, 4 Se 2.86
Se 0.7500 0.7500 0.7500  4 Cl 2.86, 4 Ta 2.86
Cl 0.2500 0.2500 0.2500  4 Cl 2.86, 4 Ta 2.86
Cl 0.5000 0.5000 0.5000  4 Cl 2.86, 4 Se 2.86

## Properties
offset from the most stable computed form: 994 meV/atom
ρ: 7.60 Mg/m³
DOS(E_F): 0.43 states/eV/atom
total moment: 0.2276 μB per atom
raw formation energy: 0.044 eV per atom

No. 2
DFT (PBE) results for TaSe2Cl after structural relaxation.

Cell: 8.5852 8.5852 8.5852 Å, 23.26 23.26 23.26°
Closest atoms and distances in Å follow each position.
Sites, in units of the cell vectors:
Ta 0.0000 0.0000 0.0000  6 Se 2.62
Se 0.2659 0.2659 0.2659  3 Ta 2.62
Se 0.7341 0.7341 0.7341  3 Ta 2.62
Cl 0.5000 0.5000 0.5000  6 Se 3.19, 6 Cl 3.46

## Properties
offset from the most stable computed form: 279 meV/atom
ρ: 7.17 Mg/m³
DOS(E_F): 0.77 states/eV/atom
total moment: 0.0734 μB per atom
raw formation energy: -0.524 eV per atom

No. 3
DFT (PBE) results for TaSeCl2 after structural relaxation.

Cell: 4.6306 4.6306 4.6306 Å, 60.00 60.00 60.00°
Closest atoms and distances in Å follow each position.
Sites, in units of the cell vectors:
Ta 0.0000 0.0000 0.0000  8 Cl 2.84
Se 0.5000 0.5000 0.5000  8 Cl 2.84
Cl 0.2500 0.2500 0.2500  4 Se 2.84, 4 Ta 2.84
Cl 0.7500 0.7500 0.7500  4 Se 2.84, 4 Ta 2.84

## Properties
offset from the most stable computed form: 1368 meV/atom
ρ: 7.82 Mg/m³
DOS(E_F): 0.64 states/eV/atom
total moment: 0.0000 μB per atom
raw formation energy: 0.417 eV per atom

No. 4
DFT (PBE) results for TaSe2Cl after structural relaxation.

Cell: 7.6728 7.6728 7.6728 Å, 155.65 144.83 43.24°
Closest atoms and distances in Å follow each position.
Sites, in units of the cell vectors:
Ta 0.0000 0.0000 0.0000  2 Cl 2.57, 6 Se 2.58-2.84
Se 0.1411 0.6411 0.5000  2 Ta 2.58, 2 Se 2.87
Se 0.5220 0.5220 0.0000  4 Ta 2.84, 2 Se 2.87
Cl 0.8601 0.3601 0.5000  2 Ta 2.57

## Properties
offset from the most stable computed form: 450 meV/atom
ρ: 5.81 Mg/m³
DOS(E_F): 0.81 states/eV/atom
total moment: 0.0000 μB per atom
raw formation energy: -0.353 eV per atom

No. 5
DFT (PBE) results for TaSeCl2 after structural relaxation.

Cell: 6.7763 3.2737 6.9925 Å, 90.00 116.80 90.00°
Closest atoms and distances in Å follow each position.
Sites, in units of the cell vectors:
Ta 0.0000 0.0000 0.0000  3 Cl 2.26-2.49, 2 Se 2.50
Se 0.9679 0.5000 0.2553  2 Ta 2.50
Cl 0.2512 0.5000 0.9518  2 Ta 2.49
Cl 0.6734 0.0000 0.7001  1 Ta 2.26

## Properties
offset from the most stable computed form: 0 meV/atom
ρ: 3.97 Mg/m³
DOS(E_F): 0.28 states/eV/atom
total moment: 0.0000 μB per atom
raw formation energy: -0.950 eV per atom

No. 6
DFT (PBE) results for TaSeCl2 after structural relaxation.

Cell: 3.1684 4.6856 4.9190 Å, 90.00 90.00 90.00°
Closest atoms and distances in Å follow each position.
Sites, in units of the cell vectors:
Ta 0.0000 0.0000 0.0000  4 Cl 2.83, 4 Se 2.93
Se 0.5000 0.0000 0.5000  4 Cl 2.83, 4 Ta 2.93
Cl 0.0000 0.5000 0.5000  4 Se 2.83, 4 Cl 2.93
Cl 0.5000 0.5000 0.0000  4 Ta 2.83, 4 Cl 2.93

## Properties
offset from the most stable computed form: 1321 meV/atom
ρ: 7.52 Mg/m³
DOS(E_F): 0.89 states/eV/atom
total moment: 0.0007 μB per atom
raw formation energy: 0.371 eV per atom

No. 7
DFT (PBE) results for TaSeCl after structural relaxation.

Cell: 6.1917 6.1917 8.7773 Å, 121.82 121.82 31.00°
Closest atoms and distances in Å follow each position.
Sites, in units of the cell vectors:
Ta 0.0000 0.0000 0.0000  3 Cl 2.50-2.59, 3 Se 2.62
Ta 0.6911 0.6911 0.9079  2 Cl 2.53, 4 Se 2.58-2.64
Se 0.0007 0.0007 0.7019  3 Ta 2.58-2.62
Se 0.3028 0.3028 0.7946  4 Ta 2.62-2.64
Cl 0.2579 0.2579 0.1617  3 Ta 2.53-2.59
Cl 0.5584 0.5584 0.2460  2 Ta 2.50

## Properties
ρ: 6.76 Mg/m³
DOS(E_F): 0.19 states/eV/atom
total moment: 0.0000 μB per atom
raw formation energy: -0.846 eV per atom

No. 8
DFT (PBE) results for Ta2SeCl after structural relaxation.

Cell: 4.5309 4.5309 5.3561 Å, 101.82 101.82 40.06°
Closest atoms and distances in Å follow each position.
Sites, in units of the cell vectors:
Ta 0.2476 0.2476 0.2435  3 Se 2.71-2.75, 3 Cl 2.76
Ta 0.7524 0.7524 0.7565  3 Se 2.71-2.75, 3 Cl 2.76
Se 0.5000 0.5000 0.0000  6 Ta 2.71-2.75
Cl 0.0000 0.0000 0.5000  6 Ta 2.76

## Properties
offset from the most stable computed form: 612 meV/atom
ρ: 11.45 Mg/m³
DOS(E_F): 0.52 states/eV/atom
total moment: 0.0000 μB per atom
raw formation energy: 0.039 eV per atom

No. 9
DFT (PBE) results for TaSe2Cl after structural relaxation.

Cell: 3.0603 3.0603 9.7602 Å, 90.00 90.00 90.00°
Closest atoms and distances in Å follow each position.
Sites, in units of the cell vectors:
Ta 0.0000 0.0000 0.0000  4 Se 2.65, 4 Cl 2.71
Se 0.0000 0.0000 0.5233  4 Se 3.06
Se 0.5000 0.5000 0.8440  4 Ta 2.65
Cl 0.5000 0.5000 0.1666  4 Ta 2.71

## Properties
offset from the most stable computed form: 501 meV/atom
ρ: 6.80 Mg/m³
DOS(E_F): 0.44 states/eV/atom
total moment: 0.0000 μB per atom
raw formation energy: -0.302 eV per atom

No. 10
DFT (PBE) results for Ta2SeCl after structural relaxation.

Cell: 4.5227 4.5227 4.5227 Å, 60.00 60.00 60.00°
Closest atoms and distances in Å follow each position.
Sites, in units of the cell vectors:
Ta 0.2500 0.2500 0.2500  4 Cl 2.77, 4 Se 2.77
Ta 0.7500 0.7500 0.7500  4 Cl 2.77, 4 Se 2.77
Se 0.0000 0.0000 0.0000  8 Ta 2.77
Cl 0.5000 0.5000 0.5000  8 Ta 2.77

## Properties
offset from the most stable computed form: 908 meV/atom
ρ: 12.09 Mg/m³
DOS(E_F): 1.49 states/eV/atom
total moment: 0.0002 μB per atom
raw formation energy: 0.335 eV per atom

No. 11
DFT (PBE) results for TaSeCl after structural relaxation.

Cell: 3.3105 6.1345 8.0628 Å, 110.83 90.21 90.00°
Closest atoms and distances in Å follow each position.
Sites, in units of the cell vectors:
Ta 0.2499 0.1856 0.4925  3 Se 2.57-2.60, 3 Cl 2.59-2.71, 2 Ta 2.85
Ta 0.7501 0.8144 0.5075  3 Se 2.57-2.60, 3 Cl 2.59-2.71, 2 Ta 2.85
Se 0.2523 0.0439 0.7571  3 Ta 2.57-2.60
Se 0.7477 0.9561 0.2429  3 Ta 2.57-2.60
Cl 0.2484 0.4951 0.3219  3 Ta 2.59-2.71
Cl 0.7516 0.5049 0.6781  3 Ta 2.59-2.71

## Properties
ρ: 6.41 Mg/m³
DOS(E_F): 0.11 states/eV/atom
total moment: 0.0000 μB per atom
raw formation energy: -0.984 eV per atom

No. 12
DFT (PBE) results for Ta2SeCl after structural relaxation.

Cell: 3.0736 4.2826 5.6838 Å, 90.00 98.85 90.00°
Closest atoms and distances in Å follow each position.
Sites, in units of the cell vectors:
Ta 0.2473 0.0000 0.2540  2 Se 2.61, 2 Cl 2.63
Ta 0.7527 0.0000 0.7460  2 Se 2.61, 2 Cl 2.63
Se 0.5000 0.5000 0.5000  4 Ta 2.61
Cl 0.0000 0.5000 0.0000  4 Ta 2.63

## Properties
offset from the most stable computed form: 774 meV/atom
ρ: 10.70 Mg/m³
DOS(E_F): 0.58 states/eV/atom
total moment: 0.0000 μB per atom
raw formation energy: 0.201 eV per atom

What did the tenth record say?
DFT (PBE) results for Ta2SeCl after structural relaxation.

Cell: 4.5227 4.5227 4.5227 Å, 60.00 60.00 60.00°
Closest atoms and distances in Å follow each position.
Sites, in units of the cell vectors:
Ta 0.2500 0.2500 0.2500  4 Cl 2.77, 4 Se 2.77
Ta 0.7500 0.7500 0.7500  4 Cl 2.77, 4 Se 2.77
Se 0.0000 0.0000 0.0000  8 Ta 2.77
Cl 0.5000 0.5000 0.5000  8 Ta 2.77

## Properties
offset from the most stable computed form: 908 meV/atom
ρ: 12.09 Mg/m³
DOS(E_F): 1.49 states/eV/atom
total moment: 0.0002 μB per atom
raw formation energy: 0.335 eV per atom